The following is a PBE calculation of AlCd2F8 after structural relaxation, from the Alexandria database.

Computed properties:
- Formation energy without anion corrections: -2.4264 eV per atom
- Calculated density: 4705 kg/m3
- Uncorrected energy: -4.294 eV per atom
- Space-group type: No. 12

a = 4.594 Å, b = 5.890 Å, c = 5.890 Å
α = 74.09°, β = 72.92°, γ = 72.92°
Site moments in Bohr magnetons follow the coordinates.
Fractional coordinates of all 11 atoms:
Cd  0.362  0.333  0.333  0.02
F  0.746  0.949  0.305  0.06
F  0.773  0.879  0.879  0.19
F  0.254  0.051  0.695  0.06
F  0.227  0.121  0.121  0.19
Al  0.000  0.000  0.000  0.00
F  0.800  0.410  0.410  0.19
F  0.200  0.590  0.590  0.19
F  0.746  0.305  0.949  0.06
Cd  0.638  0.667  0.667  0.02
F  0.254  0.695  0.051  0.06